1.
# TcOs3 | Alexandria | GGA-PBEsol | optimized geometry
data_TcOs3
_chemical_formula_sum 'Tc1 Os3'
_cell_length_a 4.6204
_cell_length_b 4.6204
_cell_length_c 4.6204
_cell_angle_alpha 90.00
_cell_angle_beta 90.00
_cell_angle_gamma 90.00
_space_group_name_H-M_alt 'P 1'
_space_group_IT_number 1
loop_
_space_group_symop_operation_xyz
'x,y,z'
loop_
_atom_site_label
_atom_site_fract_x
_atom_site_fract_y
_atom_site_fract_z
Os1 0.0000 0.0000 0.5000
Os2 0.5000 0.0000 0.0000
Os3 0.0000 0.5000 0.0000
Tc1 0.0000 0.0000 0.0000
# - Formation enthalpy at 0 K: 13.298 eV/f.u.
# - N(E_F): 6.85 states/eV per cell
# - Crystal system: cubic
# - Magnetization: 1.88 μB per formula unit
# - Density: 11.3 g/cm3
# - Offset from the most stable computed form: 3396 meV/atom

2.
# ScAgBi2 | Alexandria | GGA-PBEsol | optimized geometry
data_ScAgBi2
_chemical_formula_sum 'Sc2 Ag2 Bi4'
_cell_length_a 6.4344
_cell_length_b 6.4889
_cell_length_c 6.4889
_cell_angle_alpha 75.77
_cell_angle_beta 60.28
_cell_angle_gamma 60.28
_space_group_name_H-M_alt 'P 1'
_space_group_IT_number 1
loop_
_space_group_symop_operation_xyz
'x,y,z'
loop_
_atom_site_label
_atom_site_fract_x
_atom_site_fract_y
_atom_site_fract_z
Bi1 0.3750 0.5217 0.9783
Bi2 0.8750 0.4783 0.0217
Bi3 0.6467 0.9783 0.4783
Bi4 0.1033 0.0217 0.5217
Sc1 0.5000 0.0000 0.0000
Sc2 0.2500 0.5000 0.5000
Ag1 0.0000 0.0000 0.0000
Ag2 0.7500 0.5000 0.5000
# - Formation enthalpy at 0 K: -0.398 eV/f.u.
# - N(E_F): 3.71 states/eV per cell
# - Crystal system: tetragonal
# - Magnetization: 0.00 μB per formula unit
# - Density: 9.3 g/cm3

3.
# RbSc2AgAu | Alexandria | GGA-PBEsol | optimized geometry
data_RbSc2AgAu
_chemical_formula_sum 'Rb1 Sc2 Ag1 Au1'
_cell_length_a 5.1959
_cell_length_b 5.1959
_cell_length_c 5.3341
_cell_angle_alpha 90.00
_cell_angle_beta 90.00
_cell_angle_gamma 90.00
_space_group_name_H-M_alt 'P 1'
_space_group_IT_number 1
loop_
_space_group_symop_operation_xyz
'x,y,z'
loop_
_atom_site_label
_atom_site_fract_x
_atom_site_fract_y
_atom_site_fract_z
Sc1 0.0000 0.5000 0.0000
Sc2 0.5000 0.0000 0.0000
Ag1 0.0000 0.0000 0.5000
Au1 0.0000 0.0000 0.0000
Rb1 0.5000 0.5000 0.5000
# - Formation enthalpy at 0 K: 1.293 eV/f.u.
# - N(E_F): 6.53 states/eV per cell
# - Crystal system: tetragonal
# - Magnetization: 0.00 μB per formula unit
# - Density: 5.5 g/cm3

4.
# CoSn2Br2 | Alexandria | GGA-PBEsol | optimized geometry
data_CoSn2Br2
_chemical_formula_sum 'Co1 Sn2 Br2'
_cell_length_a 3.9916
_cell_length_b 3.9916
_cell_length_c 8.9441
_cell_angle_alpha 102.89
_cell_angle_beta 102.89
_cell_angle_gamma 90.00
_space_group_name_H-M_alt 'P 1'
_space_group_IT_number 1
loop_
_space_group_symop_operation_xyz
'x,y,z'
loop_
_atom_site_label
_atom_site_fract_x
_atom_site_fract_y
_atom_site_fract_z
Sn1 0.2500 0.7500 0.5000
Sn2 0.7500 0.2500 0.5000
Co1 0.0000 0.0000 0.0000
Br1 0.5915 0.5915 0.1830
Br2 0.4085 0.4085 0.8170
# - ΔE_f (raw): 0.596 eV/atom
# - N(E_F): 6.43 states/eV per cell
# - Crystal system: tetragonal
# - Magnetization: 2.09 μB per formula unit
# - Density: 5.6 g/cm3

5.
# Th2Ni7 | Alexandria | GGA-PBEsol | optimized geometry
data_Th2Ni7
_chemical_formula_sum 'Th8 Ni28'
_cell_length_a 4.9151
_cell_length_b 4.9151
_cell_length_c 24.3108
_cell_angle_alpha 90.00
_cell_angle_beta 90.00
_cell_angle_gamma 120.00
_space_group_name_H-M_alt 'P 1'
_space_group_IT_number 1
loop_
_space_group_symop_operation_xyz
'x,y,z'
loop_
_atom_site_label
_atom_site_fract_x
_atom_site_fract_y
_atom_site_fract_z
Th1 0.6667 0.3333 0.5319
Th2 0.6667 0.3333 0.9681
Th3 0.3333 0.6667 0.1757
Th4 0.3333 0.6667 0.3243
Th5 0.3333 0.6667 0.0319
Th6 0.6667 0.3333 0.6757
Th7 0.3333 0.6667 0.4681
Th8 0.6667 0.3333 0.8243
Ni1 0.3332 0.1666 0.2500
Ni2 0.6668 0.8334 0.7500
Ni3 0.3333 0.6667 0.8322
Ni4 0.8334 0.1666 0.2500
Ni5 0.0000 0.0000 0.6678
Ni6 0.1671 0.8329 0.9141
Ni7 0.1671 0.8329 0.5859
Ni8 0.0000 0.0000 0.1678
Ni9 0.1666 0.3332 0.7500
Ni10 0.3333 0.6667 0.6678
Ni11 0.0000 0.0000 0.8322
Ni12 0.1666 0.8334 0.7500
Ni13 0.0000 0.0000 0.0000
Ni14 0.6657 0.8329 0.9141
Ni15 0.1671 0.3343 0.9141
Ni16 0.8329 0.6657 0.0859
Ni17 0.8329 0.6657 0.4141
Ni18 0.3343 0.1671 0.4141
Ni19 0.8329 0.1671 0.0859
Ni20 0.1671 0.3343 0.5859
Ni21 0.8334 0.6668 0.2500
Ni22 0.6667 0.3333 0.1678
Ni23 0.3343 0.1671 0.0859
Ni24 0.6667 0.3333 0.3322
Ni25 0.0000 0.0000 0.5000
Ni26 0.6657 0.8329 0.5859
Ni27 0.8329 0.1671 0.4141
Ni28 0.0000 0.0000 0.3322
# - Formation enthalpy at 0 K: -3.949 eV/f.u.
# - N(E_F): 38.66 states/eV per cell
# - Crystal system: hexagonal
# - Magnetization: 0.00 μB per formula unit
# - Density: 11.4 g/cm3

6.
# Sb2Ru2N | Alexandria | GGA-PBEsol | optimized geometry
data_Sb2Ru2N
_chemical_formula_sum 'Sb2 Ru2 N1'
_cell_length_a 4.9551
_cell_length_b 4.9551
_cell_length_c 4.9551
_cell_angle_alpha 100.06
_cell_angle_beta 114.37
_cell_angle_gamma 114.37
_space_group_name_H-M_alt 'P 1'
_space_group_IT_number 1
loop_
_space_group_symop_operation_xyz
'x,y,z'
loop_
_atom_site_label
_atom_site_fract_x
_atom_site_fract_y
_atom_site_fract_z
Ru1 0.0000 0.7248 0.7248
Ru2 0.0000 0.2752 0.2752
N1 0.0000 0.0000 0.0000
Sb1 0.5000 0.7500 0.2500
Sb2 0.5000 0.2500 0.7500
# - ΔE_f (raw): 0.378 eV/atom
# - N(E_F): 2.09 states/eV per cell
# - Crystal system: tetragonal
# - Magnetization: 0.00 μB per formula unit
# - Density: 8.3 g/cm3

7.
# TaNiSb2 | Alexandria | GGA-PBEsol | optimized geometry
data_TaNiSb2
_chemical_formula_sum 'Ta1 Ni1 Sb2'
_cell_length_a 3.6037
_cell_length_b 3.6037
_cell_length_c 5.6961
_cell_angle_alpha 90.00
_cell_angle_beta 90.00
_cell_angle_gamma 90.00
_space_group_name_H-M_alt 'P 1'
_space_group_IT_number 1
loop_
_space_group_symop_operation_xyz
'x,y,z'
loop_
_atom_site_label
_atom_site_fract_x
_atom_site_fract_y
_atom_site_fract_z
Ta1 0.0000 0.0000 0.4793
Sb1 0.5000 0.5000 0.2927
Sb2 0.0000 0.0000 0.9466
Ni1 0.5000 0.5000 0.7814
# - ΔE_f (raw): 0.047 eV/atom
# - N(E_F): 3.05 states/eV per cell
# - Crystal system: tetragonal
# - Magnetization: 0.00 μB per formula unit
# - Density: 10.8 g/cm3
# - Offset from the most stable computed form: 0 meV/atom

8.
# TlFeAs2 | Alexandria | GGA-PBEsol | optimized geometry
data_TlFeAs2
_chemical_formula_sum 'Tl1 Fe1 As2'
_cell_length_a 4.0105
_cell_length_b 4.6866
_cell_length_c 4.6866
_cell_angle_alpha 107.70
_cell_angle_beta 102.54
_cell_angle_gamma 102.54
_space_group_name_H-M_alt 'P 1'
_space_group_IT_number 1
loop_
_space_group_symop_operation_xyz
'x,y,z'
loop_
_atom_site_label
_atom_site_fract_x
_atom_site_fract_y
_atom_site_fract_z
Fe1 0.5000 0.5000 0.5000
As1 0.0000 0.5000 0.0000
As2 0.0000 0.0000 0.5000
Tl1 0.5000 0.0000 0.0000
# - Formation enthalpy at 0 K: 2.177 eV/f.u.
# - N(E_F): 5.10 states/eV per cell
# - Crystal system: monoclinic
# - Magnetization: 2.91 μB per formula unit
# - Density: 8.7 g/cm3
# - Offset from the most stable computed form: 535 meV/atom

9.
# YOsPb | Alexandria | GGA-PBEsol | optimized geometry
data_YOsPb
_chemical_formula_sum 'Y1 Os1 Pb1'
_cell_length_a 4.6689
_cell_length_b 4.6689
_cell_length_c 4.6689
_cell_angle_alpha 60.00
_cell_angle_beta 60.00
_cell_angle_gamma 60.00
_space_group_name_H-M_alt 'P 1'
_space_group_IT_number 1
loop_
_space_group_symop_operation_xyz
'x,y,z'
loop_
_atom_site_label
_atom_site_fract_x
_atom_site_fract_y
_atom_site_fract_z
Pb1 0.2500 0.2500 0.2500
Y1 0.0000 0.0000 0.0000
Os1 0.5000 0.5000 0.5000
# - Formation enthalpy at 0 K: 1.953 eV/f.u.
# - N(E_F): 3.20 states/eV per cell
# - Crystal system: cubic
# - Magnetization: 1.16 μB per formula unit
# - Density: 11.2 g/cm3

10.
# Li2InAs | Alexandria | GGA-PBEsol | optimized geometry
data_Li2InAs
_chemical_formula_sum 'Li2 In1 As1'
_cell_length_a 4.0631
_cell_length_b 4.0631
_cell_length_c 5.1933
_cell_angle_alpha 113.03
_cell_angle_beta 113.03
_cell_angle_gamma 90.00
_space_group_name_H-M_alt 'P 1'
_space_group_IT_number 1
loop_
_space_group_symop_operation_xyz
'x,y,z'
loop_
_atom_site_label
_atom_site_fract_x
_atom_site_fract_y
_atom_site_fract_z
As1 0.0000 0.0000 0.0000
Li1 0.5000 0.5000 0.0000
Li2 0.7500 0.2500 0.5000
In1 0.2500 0.7500 0.5000
# - Formation enthalpy at 0 K: -1.494 eV/f.u.
# - N(E_F): 0.94 states/eV per cell
# - Crystal system: tetragonal
# - Magnetization: 0.00 μB per formula unit
# - Density: 4.7 g/cm3